DFT (GGA-PBE) results for a relaxed structure of Be2BiOsO8.

Results
- Formation energy without anion corrections: -1.178 eV/atom
- Magnetization: 1.0 Bohr magnetons per cell
- V: 145.7 Å³/cell
- Calculated density: 6.2 Mg/m³
- Raw total energy: -76.37 eV per cell

Unit cell a=5.106 b=5.106 c=6.454 alpha=90.00 beta=90.00 gamma=120.00
Sites, in units of the cell vectors:
Be 0.333 0.667 0.229
Be 0.667 0.333 0.771
Bi 0.000 0.000 0.000
Os 0.000 0.000 0.500
O 0.165 0.329 0.322
O 0.165 0.835 0.322
O 0.329 0.165 0.678
O 0.333 0.667 0.983
O 0.667 0.333 0.017
O 0.671 0.835 0.322
O 0.835 0.165 0.678
O 0.835 0.671 0.678